# NpTeP | the Alexandria database | PBE | optimized geometry
data_NpTeP
_space_group_name_H-M_alt 'I 4 m m'
_space_group_IT_number 107
_space_group_name_Hall 'I 4 -2'
_cell_length_a 3.7991
_cell_length_b 3.7991
_cell_length_c 10.3483
_cell_angle_alpha 90.00
_cell_angle_beta 90.00
_cell_angle_gamma 90.00
loop_
_atom_site_label
_atom_site_type_symbol
_atom_site_fract_x
_atom_site_fract_y
_atom_site_fract_z
_atom_site_occupancy
Np1 Np 0.0000 0.0000 0.0000 1
Te1 Te 0.0000 0.0000 0.3225 1
P1 P 0.0000 0.0000 0.5791 1
# magnetization: 1.223 μB/atom
# formation energy (no corrections): -0.45 eV/atom